1.
A plane-wave DFT calculation with PBE was carried out for a relaxed structure of InPPdO.

Values from the calculation:
final energy: -36.27 eV for the cell shown
relative energy among the computed polymorphs: 230 kJ/mol of formula units
volume: 159.0 Å³/cell

```
data_InPPdO
_cell_length_a 4.258
_cell_length_b 4.258
_cell_length_c 8.767
_cell_angle_alpha 90.00
_cell_angle_beta 90.00
_cell_angle_gamma 90.00
_symmetry_space_group_name_H-M 'P 1'
_symmetry_Int_Tables_number 1
loop_
_symmetry_equiv_pos_as_xyz
'x,y,z'
loop_
_atom_site_label
_atom_site_type_symbol
_atom_site_fract_x
_atom_site_fract_y
_atom_site_fract_z
P1 P 0.500 0.500 0.312
P2 P 0.000 0.000 0.688
In1 In 0.000 0.500 0.500
In2 In 0.500 0.000 0.500
Pd1 Pd 0.000 0.000 0.953
Pd2 Pd 0.500 0.500 0.047
O1 O 0.500 0.000 0.000
O2 O 0.000 0.500 0.000
```



2.
A plane-wave DFT calculation with PBE was carried out for a relaxed structure of PmInPO.

Values from the calculation:
final energy: -45.60 eV for the cell shown
relative energy among the computed polymorphs: 76 kJ/mol of formula units
volume: 166.6 Å³/cell

```
data_PmInPO
_cell_length_a 5.782
_cell_length_b 5.782
_cell_length_c 4.981
_cell_angle_alpha 90.00
_cell_angle_beta 90.00
_cell_angle_gamma 90.00
_symmetry_space_group_name_H-M 'P 1'
_symmetry_Int_Tables_number 1
loop_
_symmetry_equiv_pos_as_xyz
'x,y,z'
loop_
_atom_site_label
_atom_site_type_symbol
_atom_site_fract_x
_atom_site_fract_y
_atom_site_fract_z
P1 P 0.500 0.000 0.492
P2 P 0.000 0.500 0.508
In1 In 0.500 0.000 0.993
In2 In 0.000 0.500 0.007
Pm1 Pm 0.500 0.500 0.500
Pm2 Pm 0.000 0.000 0.500
O1 O 0.000 0.000 0.000
O2 O 0.500 0.500 0.000
```



3.
A plane-wave DFT calculation with PBE was carried out for a relaxed structure of PmInPO.

Values from the calculation:
final energy: -46.29 eV for the cell shown
relative energy among the computed polymorphs: 43 kJ/mol of formula units
volume: 165.4 Å³/cell

```
data_PmInPO
_cell_length_a 5.049
_cell_length_b 5.090
_cell_length_c 6.438
_cell_angle_alpha 90.00
_cell_angle_beta 90.00
_cell_angle_gamma 90.00
_symmetry_space_group_name_H-M 'P 1'
_symmetry_Int_Tables_number 1
loop_
_symmetry_equiv_pos_as_xyz
'x,y,z'
loop_
_atom_site_label
_atom_site_type_symbol
_atom_site_fract_x
_atom_site_fract_y
_atom_site_fract_z
P1 P 0.000 0.764 0.329
P2 P 0.000 0.236 0.829
In1 In 0.000 0.740 0.929
In2 In 0.000 0.260 0.429
Pm1 Pm 0.500 0.723 0.571
Pm2 Pm 0.500 0.277 0.071
O1 O 0.500 0.681 0.925
O2 O 0.500 0.319 0.425
```



4.
A plane-wave DFT calculation with PBE was carried out for a relaxed structure of PmInPO.

Values from the calculation:
final energy: -46.09 eV for the cell shown
relative energy among the computed polymorphs: 52 kJ/mol of formula units
volume: 184.6 Å³/cell

```
data_PmInPO
_cell_length_a 4.181
_cell_length_b 7.461
_cell_length_c 5.918
_cell_angle_alpha 90.00
_cell_angle_beta 90.00
_cell_angle_gamma 90.00
_symmetry_space_group_name_H-M 'P 1'
_symmetry_Int_Tables_number 1
loop_
_symmetry_equiv_pos_as_xyz
'x,y,z'
loop_
_atom_site_label
_atom_site_type_symbol
_atom_site_fract_x
_atom_site_fract_y
_atom_site_fract_z
Pm1 Pm 0.000 0.808 0.932
Pm2 Pm 0.000 0.192 0.432
P1 P 0.000 0.814 0.424
P2 P 0.000 0.186 0.924
O1 O 0.500 0.318 0.398
O2 O 0.500 0.682 0.898
In1 In 0.500 0.381 0.000
In2 In 0.500 0.619 0.500
```



5.
A plane-wave DFT calculation with PBE was carried out for a relaxed structure of PmInPO.

Values from the calculation:
final energy: -47.17 eV for the cell shown
relative energy among the computed polymorphs: 0 kJ/mol of formula units
volume: 161.7 Å³/cell

```
data_PmInPO
_cell_length_a 4.408
_cell_length_b 4.408
_cell_length_c 8.319
_cell_angle_alpha 90.00
_cell_angle_beta 90.00
_cell_angle_gamma 90.00
_symmetry_space_group_name_H-M 'P 1'
_symmetry_Int_Tables_number 1
loop_
_symmetry_equiv_pos_as_xyz
'x,y,z'
loop_
_atom_site_label
_atom_site_type_symbol
_atom_site_fract_x
_atom_site_fract_y
_atom_site_fract_z
Pm1 Pm 0.000 0.500 0.109
Pm2 Pm 0.500 0.000 0.891
O1 O 0.500 0.500 0.000
O2 O 0.000 0.000 0.000
P1 P 0.000 0.500 0.686
P2 P 0.500 0.000 0.314
In1 In 0.500 0.500 0.500
In2 In 0.000 0.000 0.500
```



6.
A plane-wave DFT calculation with PBE was carried out for a relaxed structure of InPPtO.

Values from the calculation:
final energy: -41.41 eV for the cell shown
relative energy among the computed polymorphs: 73 kJ/mol of formula units
volume: 143.9 Å³/cell

```
data_InPPtO
_cell_length_a 4.172
_cell_length_b 7.448
_cell_length_c 4.631
_cell_angle_alpha 90.00
_cell_angle_beta 90.00
_cell_angle_gamma 90.00
_symmetry_space_group_name_H-M 'P 1'
_symmetry_Int_Tables_number 1
loop_
_symmetry_equiv_pos_as_xyz
'x,y,z'
loop_
_atom_site_label
_atom_site_type_symbol
_atom_site_fract_x
_atom_site_fract_y
_atom_site_fract_z
Pt1 Pt 0.000 0.818 0.909
Pt2 Pt 0.000 0.182 0.409
P1 P 0.000 0.878 0.402
P2 P 0.000 0.122 0.902
O1 O 0.500 0.388 0.467
O2 O 0.500 0.612 0.967
In1 In 0.500 0.330 0.976
In2 In 0.500 0.670 0.476
```